No. 1
Below is a geometry-optimized Ba2Tl2Ag structure, with properties calculated at the GGA-PBE level.

Cell and atoms, written as CIF:
```
data_Ba2Tl2Ag
_chemical_formula_sum 'Ba4 Tl4 Ag2'
_cell_length_a 9.7444
_cell_length_b 9.7444
_cell_length_c 4.3714
_cell_angle_alpha 90.00
_cell_angle_beta 90.00
_cell_angle_gamma 90.00
_symmetry_space_group_name_H-M 'P 4/m b m'
_symmetry_Int_Tables_number 127
_symmetry_space_group_name_Hall '-P 4 2ab'
loop_
_atom_site_label
_atom_site_type_symbol
_atom_site_fract_x
_atom_site_fract_y
_atom_site_fract_z
Ba1 Ba 0.1859 0.3141 0.0000
Tl1 Tl 0.1121 0.6121 0.5000
Ag1 Ag 0.0000 0.0000 0.0000
```

Output
For the energy of formation, the calculation gives -39 meV per atom. The energy above the most stable polymorph in this dataset is 26.4 kJ/mol of atoms. Its density of states at the Fermi level is 1.0621 states/eV/atom.

No. 2
Below is a geometry-optimized AlTc2Sb structure, with properties calculated at the GGA-PBE level.

Cell and atoms, written as CIF:
```
data_AlTc2Sb
_chemical_formula_sum 'Al1 Tc2 Sb1'
_cell_length_a 3.0235
_cell_length_b 4.2305
_cell_length_c 5.3058
_cell_angle_alpha 90.00
_cell_angle_beta 92.17
_cell_angle_gamma 90.00
_symmetry_space_group_name_H-M 'P 1 2/m 1'
_symmetry_Int_Tables_number 10
_symmetry_space_group_name_Hall '-P 2y'
loop_
_atom_site_label
_atom_site_type_symbol
_atom_site_fract_x
_atom_site_fract_y
_atom_site_fract_z
Al1 Al 0.0000 0.0000 0.0000
Tc1 Tc 0.2946 0.5000 0.7821
Sb1 Sb 0.5000 0.0000 0.5000
```

Output
The energy above the most stable polymorph in this dataset is 24.6 kJ/mol of atoms. Its density of states at the Fermi level is 0.7776 states/eV/atom.

No. 3
Below is a geometry-optimized InCuTc2 structure, with properties calculated at the GGA-PBE level.

Cell and atoms, written as CIF:
```
data_InCuTc2
_chemical_formula_sum 'In4 Cu4 Tc8'
_cell_length_a 7.2977
_cell_length_b 7.2977
_cell_length_c 5.0399
_cell_angle_alpha 90.00
_cell_angle_beta 90.00
_cell_angle_gamma 90.00
_symmetry_space_group_name_H-M 'I -4 2 d'
_symmetry_Int_Tables_number 122
_symmetry_space_group_name_Hall 'I -4 2bw'
loop_
_atom_site_label
_atom_site_type_symbol
_atom_site_fract_x
_atom_site_fract_y
_atom_site_fract_z
In1 In 0.0000 0.0000 0.0000
Cu1 Cu 0.0000 0.0000 0.5000
Tc1 Tc 0.2177 0.7500 0.6250
```

Output
For the energy of formation, the calculation gives 782 meV per atom. Its density of states at the Fermi level is 0.9295 states/eV/atom.

No. 4
Below is a geometry-optimized TaSi2AgAs structure, with properties calculated at the GGA-PBE level.

Cell and atoms, written as CIF:
```
data_TaSi2AgAs
_chemical_formula_sum 'Ta1 Si2 Ag1 As1'
_cell_length_a 4.5123
_cell_length_b 4.5123
_cell_length_c 5.4209
_cell_angle_alpha 90.00
_cell_angle_beta 90.00
_cell_angle_gamma 90.00
_symmetry_space_group_name_H-M 'P 4/m m m'
_symmetry_Int_Tables_number 123
_symmetry_space_group_name_Hall '-P 4 2'
loop_
_atom_site_label
_atom_site_type_symbol
_atom_site_fract_x
_atom_site_fract_y
_atom_site_fract_z
Ta1 Ta 0.0000 0.0000 0.0000
Si1 Si 0.0000 0.5000 0.5000
Ag1 Ag 0.0000 0.0000 0.5000
As1 As 0.5000 0.5000 0.0000
```

Output
Its density of states at the Fermi level is 0.7994 states/eV/atom. Its electronic total energy is -4.61 eV per atom.

No. 5
Below is a geometry-optimized EuHPd3 structure, with properties calculated at the GGA-PBE level.

Cell and atoms, written as CIF:
```
data_EuHPd3
_chemical_formula_sum 'Eu1 H1 Pd3'
_cell_length_a 4.2217
_cell_length_b 4.2217
_cell_length_c 4.2217
_cell_angle_alpha 90.00
_cell_angle_beta 90.00
_cell_angle_gamma 90.00
_symmetry_space_group_name_H-M 'P m -3 m'
_symmetry_Int_Tables_number 221
_symmetry_space_group_name_Hall '-P 4 2 3'
loop_
_atom_site_label
_atom_site_type_symbol
_atom_site_fract_x
_atom_site_fract_y
_atom_site_fract_z
Eu1 Eu 0.0000 0.0000 0.0000
H1 H 0.5000 0.5000 0.5000
Pd1 Pd 0.0000 0.5000 0.5000
```

Output
Its density of states at the Fermi level is 3.3303 states/eV/atom. Its electronic total energy is -6.33 eV per atom.

No. 6
Below is a geometry-optimized ErPuB4 structure, with properties calculated at the GGA-PBE level.

Cell and atoms, written as CIF:
```
data_ErPuB4
_chemical_formula_sum 'Er4 Pu4 B16'
_cell_length_a 6.6801
_cell_length_b 6.6801
_cell_length_c 6.6801
_cell_angle_alpha 90.00
_cell_angle_beta 90.00
_cell_angle_gamma 90.00
_symmetry_space_group_name_H-M 'F -4 3 m'
_symmetry_Int_Tables_number 216
_symmetry_space_group_name_Hall 'F -4 2 3'
loop_
_atom_site_label
_atom_site_type_symbol
_atom_site_fract_x
_atom_site_fract_y
_atom_site_fract_z
Er1 Er 0.0000 0.0000 0.0000
Pu1 Pu 0.2500 0.2500 0.7500
B1 B 0.0932 0.0932 0.4068
```

Output
For the energy of formation, the calculation gives 307 meV per atom. The energy above the most stable polymorph in this dataset is 52.4 kJ/mol of atoms. Its density of states at the Fermi level is 2.2328 states/eV/atom.

No. 7
Below is a geometry-optimized Al2RhAu structure, with properties calculated at the GGA-PBE level.

Cell and atoms, written as CIF:
```
data_Al2RhAu
_chemical_formula_sum 'Al2 Rh1 Au1'
_cell_length_a 3.0501
_cell_length_b 3.0501
_cell_length_c 6.4468
_cell_angle_alpha 90.00
_cell_angle_beta 90.00
_cell_angle_gamma 90.00
_symmetry_space_group_name_H-M 'P 4/m m m'
_symmetry_Int_Tables_number 123
_symmetry_space_group_name_Hall '-P 4 2'
loop_
_atom_site_label
_atom_site_type_symbol
_atom_site_fract_x
_atom_site_fract_y
_atom_site_fract_z
Al1 Al 0.0000 0.0000 0.2281
Rh1 Rh 0.5000 0.5000 0.0000
Au1 Au 0.5000 0.5000 0.5000
```

Output
For the energy of formation, the calculation gives -679 meV per atom. The energy above the most stable polymorph in this dataset is 0.0 kJ/mol of atoms. Its density of states at the Fermi level is 0.4355 states/eV/atom.

No. 8
Below is a geometry-optimized Er2PaS structure, with properties calculated at the GGA-PBE level.

Cell and atoms, written as CIF:
```
data_Er2PaS
_chemical_formula_sum 'Er6 Pa3 S3'
_cell_length_a 3.4443
_cell_length_b 3.4443
_cell_length_c 30.0229
_cell_angle_alpha 90.00
_cell_angle_beta 90.00
_cell_angle_gamma 120.00
_symmetry_space_group_name_H-M 'R -3 m'
_symmetry_Int_Tables_number 166
_symmetry_space_group_name_Hall '-R 3 2"'
loop_
_atom_site_label
_atom_site_type_symbol
_atom_site_fract_x
_atom_site_fract_y
_atom_site_fract_z
Er1 Er 0.0000 0.0000 0.1084
Pa1 Pa 0.0000 0.0000 0.0000
S1 S 0.0000 0.0000 0.5000
```

Output
Its density of states at the Fermi level is 1.2845 states/eV/atom. Its electronic total energy is -6.19 eV per atom.

No. 9
Below is a geometry-optimized LiGeHAu2 structure, with properties calculated at the GGA-PBE level.

Cell and atoms, written as CIF:
```
data_LiGeHAu2
_chemical_formula_sum 'Li1 Ge1 H1 Au2'
_cell_length_a 4.2740
_cell_length_b 4.2740
_cell_length_c 3.8992
_cell_angle_alpha 90.00
_cell_angle_beta 90.00
_cell_angle_gamma 90.00
_symmetry_space_group_name_H-M 'P 4/m m m'
_symmetry_Int_Tables_number 123
_symmetry_space_group_name_Hall '-P 4 2'
loop_
_atom_site_label
_atom_site_type_symbol
_atom_site_fract_x
_atom_site_fract_y
_atom_site_fract_z
Li1 Li 0.0000 0.0000 0.0000
Ge1 Ge 0.5000 0.5000 0.0000
H1 H 0.0000 0.0000 0.5000
Au1 Au 0.0000 0.5000 0.5000
```

Output
The energy above the most stable polymorph in this dataset is 0.0 kJ/mol of atoms. Its density of states at the Fermi level is 0.3481 states/eV/atom.

No. 10
Below is a geometry-optimized LiCu5Pt6 structure, with properties calculated at the GGA-PBE level.

Cell and atoms, written as CIF:
```
data_LiCu5Pt6
_chemical_formula_sum 'Li2 Cu10 Pt12'
_cell_length_a 3.9345
_cell_length_b 7.2453
_cell_length_c 11.6758
_cell_angle_alpha 90.00
_cell_angle_beta 90.00
_cell_angle_gamma 90.00
_symmetry_space_group_name_H-M 'I m m m'
_symmetry_Int_Tables_number 71
_symmetry_space_group_name_Hall '-I 2 2'
loop_
_atom_site_label
_atom_site_type_symbol
_atom_site_fract_x
_atom_site_fract_y
_atom_site_fract_z
Li1 Li 0.0000 0.0000 0.0000
Cu1 Cu 0.0000 0.0000 0.3327
Cu2 Cu 0.0000 0.5000 0.0000
Cu3 Cu 0.0000 0.5000 0.3334
Pt1 Pt 0.0000 0.2495 0.1662
Pt2 Pt 0.0000 0.2498 0.5000
```

Output
For the energy of formation, the calculation gives -203 meV per atom. Its density of states at the Fermi level is 1.0638 states/eV/atom.

No. 11
Below is a geometry-optimized Mg2B2Ir5Pd structure, with properties calculated at the GGA-PBE level.

Cell and atoms, written as CIF:
```
data_Mg2B2Ir5Pd
_chemical_formula_sum 'Mg4 B4 Ir10 Pd2'
_cell_length_a 9.6491
_cell_length_b 9.6491
_cell_length_c 2.9292
_cell_angle_alpha 90.00
_cell_angle_beta 90.00
_cell_angle_gamma 90.00
_symmetry_space_group_name_H-M 'P 4/m b m'
_symmetry_Int_Tables_number 127
_symmetry_space_group_name_Hall '-P 4 2ab'
loop_
_atom_site_label
_atom_site_type_symbol
_atom_site_fract_x
_atom_site_fract_y
_atom_site_fract_z
Mg1 Mg 0.1778 0.3222 0.0000
B1 B 0.1238 0.6238 0.0000
Ir1 Ir 0.0000 0.5000 0.5000
Ir2 Ir 0.0709 0.7779 0.5000
Pd1 Pd 0.0000 0.0000 0.0000
```

Output
For the energy of formation, the calculation gives -324 meV per atom. Its density of states at the Fermi level is 0.6515 states/eV/atom.

No. 12
Below is a geometry-optimized SbPRhS2 structure, with properties calculated at the GGA-PBE level.

Cell and atoms, written as CIF:
```
data_SbPRhS2
_chemical_formula_sum 'Sb1 P1 Rh1 S2'
_cell_length_a 4.8269
_cell_length_b 4.8269
_cell_length_c 4.3906
_cell_angle_alpha 90.00
_cell_angle_beta 90.00
_cell_angle_gamma 90.00
_symmetry_space_group_name_H-M 'P 4/m m m'
_symmetry_Int_Tables_number 123
_symmetry_space_group_name_Hall '-P 4 2'
loop_
_atom_site_label
_atom_site_type_symbol
_atom_site_fract_x
_atom_site_fract_y
_atom_site_fract_z
Sb1 Sb 0.0000 0.0000 0.0000
P1 P 0.5000 0.5000 0.0000
Rh1 Rh 0.5000 0.5000 0.5000
S1 S 0.0000 0.5000 0.5000
```

Output
The energy above the most stable polymorph in this dataset is 0.0 kJ/mol of atoms. Its density of states at the Fermi level is 0.4678 states/eV/atom.

No. 13
Below is a geometry-optimized Tc2NiWI structure, with properties calculated at the GGA-PBE level.

Cell and atoms, written as CIF:
```
data_Tc2NiWI
_chemical_formula_sum 'Tc2 Ni1 W1 I1'
_cell_length_a 4.5896
_cell_length_b 4.5896
_cell_length_c 4.5541
_cell_angle_alpha 90.00
_cell_angle_beta 90.00
_cell_angle_gamma 90.00
_symmetry_space_group_name_H-M 'P 4/m m m'
_symmetry_Int_Tables_number 123
_symmetry_space_group_name_Hall '-P 4 2'
loop_
_atom_site_label
_atom_site_type_symbol
_atom_site_fract_x
_atom_site_fract_y
_atom_site_fract_z
Tc1 Tc 0.0000 0.5000 0.0000
Ni1 Ni 0.0000 0.0000 0.0000
W1 W 0.0000 0.0000 0.5000
I1 I 0.5000 0.5000 0.5000
```

Output
Its density of states at the Fermi level is 1.3418 states/eV/atom. Its electronic total energy is -6.46 eV per atom.

No. 14
Below is a geometry-optimized Dy7BeI12 structure, with properties calculated at the GGA-PBE level.

Cell and atoms, written as CIF:
```
data_Dy7BeI12
_chemical_formula_sum 'Dy21 Be3 I36'
_cell_length_a 15.5941
_cell_length_b 15.5941
_cell_length_c 10.4812
_cell_angle_alpha 90.00
_cell_angle_beta 90.00
_cell_angle_gamma 120.00
_symmetry_space_group_name_H-M 'R -3'
_symmetry_Int_Tables_number 148
_symmetry_space_group_name_Hall '-R 3'
loop_
_atom_site_label
_atom_site_type_symbol
_atom_site_fract_x
_atom_site_fract_y
_atom_site_fract_z
Dy1 Dy 0.0000 0.0000 0.0000
Dy2 Dy 0.0438 0.8865 0.3547
Be1 Be 0.0000 0.0000 0.5000
I1 I 0.0207 0.4351 0.1623
I2 I 0.0516 0.8682 0.8385
```

Output
Its density of states at the Fermi level is 0.6187 states/eV/atom. Its electronic total energy is -3.86 eV per atom.